(1)
## NdLuSi (PBE-GGA)

Data for a geometry-optimized NdLuSi structure.

```
data_NdLuSi
_cell_length_a 4.6815
_cell_length_b 4.6815
_cell_length_c 4.2200
_cell_angle_alpha 90.00
_cell_angle_beta 90.00
_cell_angle_gamma 120.00
_space_group_name_H-M_alt 'P 3 m 1'
_space_group_IT_number 156
_space_group_name_Hall 'P 3 -2"'
loop_
_atom_site_label
_atom_site_type_symbol
_atom_site_fract_x
_atom_site_fract_y
_atom_site_fract_z
Nd1 Nd 0.0000 0.0000 0.0000
Lu1 Lu 0.6667 0.3333 0.4799
Si1 Si 0.3333 0.6667 0.5953
```

Properties
- Offset from the most stable computed form: 90 meV/atom
- Formation energy (no corrections): -333.0 meV per atom
- Spin magnetization: 0.000 μB/atom

***

(2)
## NdLuSi (PBE-GGA)

Data for a geometry-optimized NdLuSi structure.

```
data_NdLuSi
_cell_length_a 6.902
_cell_length_b 6.902
_cell_length_c 6.902
_cell_angle_alpha 90.00
_cell_angle_beta 90.00
_cell_angle_gamma 90.00
_space_group_name_H-M_alt 'F -4 3 m'
_space_group_IT_number 216
_space_group_name_Hall 'F -4 2 3'
loop_
_atom_site_label
_atom_site_type_symbol
_atom_site_fract_x
_atom_site_fract_y
_atom_site_fract_z
Nd1 Nd 0.000 0.000 0.000
Lu1 Lu 0.000 0.000 0.500
Si1 Si 0.250 0.250 0.750
```

Properties
- Offset from the most stable computed form: 0 meV/atom
- Formation energy (no corrections): -422.6 meV per atom
- Spin magnetization: 0.000 μB/atom

***

Repeat the second record exactly.
## NdLuSi (PBE-GGA)

Data for a geometry-optimized NdLuSi structure.

```
data_NdLuSi
_cell_length_a 6.902
_cell_length_b 6.902
_cell_length_c 6.902
_cell_angle_alpha 90.00
_cell_angle_beta 90.00
_cell_angle_gamma 90.00
_space_group_name_H-M_alt 'F -4 3 m'
_space_group_IT_number 216
_space_group_name_Hall 'F -4 2 3'
loop_
_atom_site_label
_atom_site_type_symbol
_atom_site_fract_x
_atom_site_fract_y
_atom_site_fract_z
Nd1 Nd 0.000 0.000 0.000
Lu1 Lu 0.000 0.000 0.500
Si1 Si 0.250 0.250 0.750
```

Properties
- Offset from the most stable computed form: 0 meV/atom
- Formation energy (no corrections): -422.6 meV per atom
- Spin magnetization: 0.000 μB/atom